1.
First-principles (PBE) data for an optimized crystal structure of Li5CSeN2, as listed in the Alexandria database.

Lattice parameters (Å, degrees): 4.2044 4.2044 6.6996 90.00 90.00 90.00
Fractional coordinates of all 9 atoms:
C 0.0000 0.0000 0.0000
Li 0.0000 0.5000 0.2368
Li 0.5000 0.0000 0.7632
Li 0.0000 0.0000 0.5000
Li 0.0000 0.5000 0.7632
Li 0.5000 0.0000 0.2368
N 0.0000 0.0000 0.8141
N 0.0000 0.0000 0.1859
Se 0.5000 0.5000 0.5000

Values from the calculation:
E_tot	-5.00	eV/atom
total magnetization	0.008	μB per atom
symmetry	P4/mmm, No. 123
DOS(E_F)	0.183	states/eV per atom
formation energy from raw total energies	-0.68	eV/atom


2.
First-principles (PBE) data for an optimized crystal structure of TbNpSn2, as listed in the Alexandria database.

Lattice parameters (Å, degrees): 4.3887 4.9067 4.9067 90.00 90.00 90.00
Fractional coordinates of all 4 atoms:
Tb 0.5000 0.0000 0.0000
Np 0.5000 0.5000 0.5000
Sn 0.0000 0.0000 0.5000
Sn 0.0000 0.5000 0.0000

Values from the calculation:
E_tot	-6.65	eV/atom
total magnetization	1.225	μB per atom
symmetry	P4/mmm, No. 123
energy of formation	-0.2564	eV/atom
DOS(E_F)	2.672	states/eV per atom
relative energy among the computed polymorphs	0.000	eV per atom